No. 1
This record from the Alexandria database describes an optimized crystal structure of BeTlSb. The functional is PBE-GGA.

Calculated values
total moment = 0.00 μB per cell
excess energy over the best structure of this formula in the dataset = 0.89 eV per formula unit

abc: 4.0533 5.5566 13.1461
angles: 90.00 90.00 90.00
Space group Fmm2 (No. 42)
Asymmetric unit:
1 Be 0.0000 0.0000 0.0000 x4
2 Tl 0.0000 0.0000 0.6586 x4
3 Sb 0.0000 0.0000 0.3973 x4

No. 2
This record from the Alexandria database describes an optimized crystal structure of BeTlSb2. The functional is PBE-GGA.

Calculated values
total moment = 0.00 μB per cell
excess energy over the best structure of this formula in the dataset = 0.00 eV per formula unit

abc: 7.7330 3.8460 7.4496
angles: 90.00 103.04 90.00
Space group Cm (No. 8)
Asymmetric unit:
1 Be 0.0000 0.0000 0.0000 x2
2 Tl 0.2996 0.0000 0.5321 x2
3 Sb 0.0409 0.5000 0.2248 x2
4 Sb 0.1688 0.5000 0.8829 x2

No. 3
This record from the Alexandria database describes an optimized crystal structure of Be2TlSb. The functional is PBE-GGA.

Calculated values
total moment = 0.00 μB per cell
excess energy over the best structure of this formula in the dataset = 0.00 eV per formula unit

abc: 6.5950 3.8063 7.0724
angles: 90.00 108.31 90.00
Space group Cm (No. 8)
Asymmetric unit:
1 Be 0.0000 0.0000 0.0000 x2
2 Be 0.1676 0.5000 0.0030 x2
3 Tl 0.2306 0.0000 0.6919 x2
4 Sb 0.4047 0.0000 0.2124 x2

Table of formation energy without anion corrections (eV/atom), in record order: 0.42; 0.19; 0.28
Table of uncorrected energy (eV per atom), in record order: -2.99; -3.40; -3.21